Record 1
! LiSi5O10 PBE relaxed; values from VASP
&SYSTEM
  ibrav = 0, nat = 16, ntyp = 3
/
ATOMIC_SPECIES
Li 6.94 Li.upf
Si 28.09 Si.upf
O 16.00 O.upf
ATOMIC_POSITIONS angstrom
Li 0.000 0.000 0.000
Si 1.607 3.484 2.466
Si 3.484 1.607 4.009
Si 3.484 3.484 0.000
Si 3.484 5.362 4.009
Si 5.362 3.484 2.466
O 0.000 3.484 2.458
O 2.142 3.484 0.925
O 2.146 2.146 3.237
O 2.146 4.823 3.237
O 3.484 0.000 4.017
O 3.484 2.142 5.550
O 3.484 4.827 5.550
O 4.823 2.146 3.237
O 4.823 4.823 3.237
O 4.827 3.484 0.925
CELL_PARAMETERS angstrom
6.969 0.000 0.000
0.000 6.969 0.000
0.000 0.000 6.475
! raw formation energy = -2.504 eV/atom
! size of the total moment = 0.87 μB per cell
! ΔE to the lowest computed polymorph = 0.00 eV/f.u.

Record 2
! MnTePd PBE relaxed; values from VASP
&SYSTEM
  ibrav = 0, nat = 3, ntyp = 3
/
ATOMIC_SPECIES
Mn 54.94 Mn.upf
Te 127.60 Te.upf
Pd 106.42 Pd.upf
ATOMIC_POSITIONS angstrom
Mn 0.000 0.000 0.000
Te 0.000 0.000 5.534
Pd 0.000 0.000 2.844
CELL_PARAMETERS angstrom
-1.836 1.836 4.166
1.836 -1.836 4.166
1.836 1.836 -4.166
! raw formation energy = -0.048 eV/atom
! size of the total moment = 4.16 μB per cell

Record 3
! Ho6Er PBE relaxed; values from VASP
&SYSTEM
  ibrav = 0, nat = 14, ntyp = 2
/
ATOMIC_SPECIES
Ho 164.93 Ho.upf
Er 167.26 Er.upf
ATOMIC_POSITIONS angstrom
Ho 0.525 3.738 1.503
Ho 0.525 5.901 9.397
Ho 1.606 1.606 3.925
Ho 1.606 1.606 6.975
Ho 2.688 3.738 9.397
Ho 2.688 5.901 1.503
Ho 3.738 0.525 9.397
Ho 3.738 2.688 1.503
Ho 4.819 4.819 3.925
Ho 4.819 4.819 6.975
Ho 5.901 0.525 1.503
Ho 5.901 2.688 9.397
Er 1.606 4.819 5.450
Er 4.819 1.606 5.450
CELL_PARAMETERS angstrom
6.426 0.000 0.000
0.000 6.426 0.000
0.000 0.000 10.901
! size of the total moment = 0.00 μB per cell
! formation enthalpy at 0 K = 272 meV per atom
! ΔE to the lowest computed polymorph = 0.00 eV/f.u.

Record 4
! Ac3P PBE relaxed; values from VASP
&SYSTEM
  ibrav = 0, nat = 4, ntyp = 2
/
ATOMIC_SPECIES
Ac 227.00 Ac.upf
P 30.97 P.upf
ATOMIC_POSITIONS angstrom
Ac 0.000 0.000 2.551
Ac 0.000 2.551 0.000
Ac 2.551 0.000 0.000
P 2.551 2.551 2.551
CELL_PARAMETERS angstrom
5.103 0.000 0.000
0.000 5.103 0.000
0.000 0.000 5.103
! size of the total moment = 0.00 μB per cell
! formation enthalpy at 0 K = -206 meV per atom
! ΔE to the lowest computed polymorph = 1.65 eV/f.u.

Record 5
! CaLa4Tb6 PBE relaxed; values from VASP
&SYSTEM
  ibrav = 0, nat = 11, ntyp = 3
/
ATOMIC_SPECIES
Ca 40.08 Ca.upf
La 138.91 La.upf
Tb 158.93 Tb.upf
ATOMIC_POSITIONS angstrom
Ca 0.000 0.000 0.000
La 2.114 -2.114 5.566
La 1.268 1.268 3.137
La -2.114 2.114 5.566
La 2.114 2.114 11.839
Tb 3.382 0.000 0.000
Tb 2.237 2.237 -2.101
Tb 1.145 -1.145 10.803
Tb 0.000 3.382 0.000
Tb 1.145 1.145 6.602
Tb -1.145 1.145 10.803
CELL_PARAMETERS angstrom
-3.382 3.382 8.703
3.382 -3.382 8.703
3.382 3.382 -8.703
! size of the total moment = 0.00 μB per cell
! formation enthalpy at 0 K = 322 meV per atom

Record 6
! SbTeBr PBE relaxed; values from VASP
&SYSTEM
  ibrav = 0, nat = 6, ntyp = 3
/
ATOMIC_SPECIES
Sb 121.76 Sb.upf
Te 127.60 Te.upf
Br 79.90 Br.upf
ATOMIC_POSITIONS angstrom
Sb 0.180 1.057 3.705
Sb 4.053 3.172 3.785
Te -2.174 1.057 5.529
Te 6.408 3.172 1.961
Br 2.736 1.057 1.972
Br 1.498 3.172 5.518
CELL_PARAMETERS angstrom
7.384 0.000 0.000
0.000 4.230 0.000
-3.150 0.000 7.489
! raw formation energy = -0.345 eV/atom
! size of the total moment = 0.00 μB per cell

Record 7
! AcScSi2Pd2 PBE relaxed; values from VASP
&SYSTEM
  ibrav = 0, nat = 6, ntyp = 4
/
ATOMIC_SPECIES
Ac 227.00 Ac.upf
Sc 44.96 Sc.upf
Si 28.09 Si.upf
Pd 106.42 Pd.upf
ATOMIC_POSITIONS angstrom
Ac 0.000 0.000 0.000
Sc 0.000 0.000 3.679
Si 0.000 2.524 2.214
Si 2.186 1.262 5.145
Pd 0.000 2.524 4.984
Pd 2.186 1.262 2.375
CELL_PARAMETERS angstrom
4.372 0.000 0.000
-2.186 3.786 0.000
0.000 0.000 7.359
! raw formation energy = -0.933 eV/atom
! size of the total moment = 0.00 μB per cell

Record 8
! Nd2GdBi PBE relaxed; values from VASP
&SYSTEM
  ibrav = 0, nat = 4, ntyp = 3
/
ATOMIC_SPECIES
Nd 144.24 Nd.upf
Gd 157.25 Gd.upf
Bi 208.98 Bi.upf
ATOMIC_POSITIONS angstrom
Nd 0.000 2.495 0.000
Nd 2.495 0.000 0.000
Gd 0.000 0.000 2.473
Bi 2.495 2.495 2.473
CELL_PARAMETERS angstrom
4.991 0.000 0.000
0.000 4.991 0.000
0.000 0.000 4.946
! size of the total moment = 7.47 μB per cell
! formation enthalpy at 0 K = -420 meV per atom
! ΔE to the lowest computed polymorph = 0.00 eV/f.u.

Record 9
! Cd3AgPt PBE relaxed; values from VASP
&SYSTEM
  ibrav = 0, nat = 5, ntyp = 3
/
ATOMIC_SPECIES
Cd 112.41 Cd.upf
Ag 107.87 Ag.upf
Pt 195.08 Pt.upf
ATOMIC_POSITIONS angstrom
Cd 0.000 0.000 2.595
Cd 0.000 2.595 0.000
Cd 2.595 0.000 0.000
Ag 2.595 2.595 2.595
Pt 0.000 0.000 0.000
CELL_PARAMETERS angstrom
5.191 0.000 0.000
0.000 5.191 0.000
0.000 0.000 5.191
! size of the total moment = 0.00 μB per cell
! formation enthalpy at 0 K = 182 meV per atom
! ΔE to the lowest computed polymorph = 1.66 eV/f.u.

Record 10
! PmTm2Te PBE relaxed; values from VASP
&SYSTEM
  ibrav = 0, nat = 4, ntyp = 3
/
ATOMIC_SPECIES
Pm 145.00 Pm.upf
Tm 168.93 Tm.upf
Te 127.60 Te.upf
ATOMIC_POSITIONS angstrom
Pm 0.000 0.000 0.000
Tm 0.000 0.000 7.021
Tm 0.000 0.000 12.658
Te 0.000 0.000 24.616
CELL_PARAMETERS angstrom
1.926 1.112 9.848
-1.926 1.112 9.848
0.000 -2.224 9.848
! raw formation energy = -0.503 eV/atom
! size of the total moment = 0.00 μB per cell
! ΔE to the lowest computed polymorph = 0.54 eV/f.u.

Record 11
! CdHg2Ir PBE relaxed; values from VASP
&SYSTEM
  ibrav = 0, nat = 4, ntyp = 3
/
ATOMIC_SPECIES
Cd 112.41 Cd.upf
Hg 200.59 Hg.upf
Ir 192.22 Ir.upf
ATOMIC_POSITIONS angstrom
Cd 0.000 0.000 0.000
Hg 0.000 0.000 3.178
Hg 1.575 2.085 1.588
Ir 1.575 2.085 4.619
CELL_PARAMETERS angstrom
3.151 0.000 0.000
0.000 4.171 0.000
0.000 0.000 5.948
! size of the total moment = 0.00 μB per cell
! formation enthalpy at 0 K = 330 meV per atom
! ΔE to the lowest computed polymorph = 0.52 eV/f.u.

Record 12
! Sm2ScU2Ru5 PBE relaxed; values from VASP
&SYSTEM
  ibrav = 0, nat = 20, ntyp = 4
/
ATOMIC_SPECIES
Sm 150.36 Sm.upf
Sc 44.96 Sc.upf
U 238.03 U.upf
Ru 101.07 Ru.upf
ATOMIC_POSITIONS angstrom
Sm 1.837 3.519 0.000
Sm 3.519 8.875 0.000
Sm 7.193 1.837 0.000
Sm 8.875 7.193 0.000
Sc 0.000 0.000 0.000
Sc 5.356 5.356 0.000
U 1.518 6.874 0.000
U 3.837 1.518 0.000
U 6.874 9.193 0.000
U 9.193 3.837 0.000
Ru 0.000 5.356 1.727
Ru 0.555 8.504 1.727
Ru 2.207 0.555 1.727
Ru 3.148 5.910 1.727
Ru 4.801 3.148 1.727
Ru 5.356 0.000 1.727
Ru 5.910 7.563 1.727
Ru 7.563 4.801 1.727
Ru 8.504 10.157 1.727
Ru 10.157 2.207 1.727
CELL_PARAMETERS angstrom
10.711 0.000 0.000
0.000 10.711 0.000
0.000 0.000 3.455
! size of the total moment = 0.00 μB per cell
! formation enthalpy at 0 K = -249 meV per atom

- Look up the size of the total moment of the seventh one.
  0.00 μB per cell

- size of the total moment of number 2 (MnTePd)?
  4.16 μB per cell

- Which value of size of the total moment does entry 4 give?
  0.00 μB per cell

- Among the records above, which one has the highest size of the total moment?
  Nd2GdBi